## AgP2Ir (PBE)

Data for crystalline AgP2Ir at its relaxed geometry.

Formation energy = 0.036 eV/atom
Calculated volume = 16.82 Å³/atom

a = 2.9223 Å, b = 2.9223 Å, c = 7.8771 Å
α = 90.00°, β = 90.00°, γ = 90.00°
Space group P4mm (No. 99)
One atom of each set of equivalent atoms:
Ag: 0.0000 0.0000 0.0000 [1 per cell]
P: 0.0000 0.0000 0.3175 [1 per cell]
P: 0.5000 0.5000 0.7755 [1 per cell]
Ir: 0.5000 0.5000 0.4752 [1 per cell]


## NaEuAlTl (PBE)

Data for crystalline NaEuAlTl at its relaxed geometry.

Formation energy = -0.108 eV/atom
Calculated volume = 27.14 Å³/atom

a = 7.5722 Å, b = 7.5722 Å, c = 7.5722 Å
α = 90.00°, β = 90.00°, γ = 90.00°
Space group F-43m (No. 216)
One atom of each set of equivalent atoms:
Na: 0.0000 0.0000 0.0000 [4 per cell]
Eu: 0.0000 0.0000 0.5000 [4 per cell]
Al: 0.2500 0.2500 0.7500 [4 per cell]
Tl: 0.2500 0.2500 0.2500 [4 per cell]


## Ca3Dy2HfAs6 (PBE)

Data for crystalline Ca3Dy2HfAs6 at its relaxed geometry.

Formation energy = -1.191 eV/atom
Calculated volume = 24.91 Å³/atom

a = 7.0862 Å, b = 12.2739 Å, c = 7.2707 Å
α = 90.00°, β = 108.99°, γ = 90.00°
Space group C2/m (No. 12)
One atom of each set of equivalent atoms:
Ca: 0.0000 0.0000 0.0000 [2 per cell]
Ca: 0.0000 0.3291 0.0000 [4 per cell]
Dy: 0.0000 0.1662 0.5000 [4 per cell]
Hf: 0.0000 0.5000 0.5000 [2 per cell]
As: 0.2362 0.3405 0.7307 [8 per cell]
As: 0.2404 0.5000 0.2677 [4 per cell]


## Rb2TaOsI6 (PBE)

Data for crystalline Rb2TaOsI6 at its relaxed geometry.

E_form (uncorrected) = -0.17 eV/atom
Calculated volume = 36.56 Å³/atom

a = 8.0392 Å, b = 8.0392 Å, c = 11.3143 Å
α = 90.00°, β = 90.00°, γ = 90.00°
Space group I4/mmm (No. 139)
One atom of each set of equivalent atoms:
Rb: 0.0000 0.5000 0.2500 [4 per cell]
Ta: 0.0000 0.0000 0.0000 [2 per cell]
Os: 0.0000 0.0000 0.5000 [2 per cell]
I: 0.0000 0.0000 0.2546 [4 per cell]
I: 0.2460 0.2460 0.5000 [8 per cell]


## RbLiS2O6 (PBE)

Data for crystalline RbLiS2O6 at its relaxed geometry.

E_form (uncorrected) = -1.46 eV/atom
Calculated volume = 17.16 Å³/atom

a = 10.7761 Å, b = 10.8025 Å, c = 6.7365 Å
α = 90.00°, β = 118.91°, γ = 90.00°
Space group C2/c (No. 15)
One atom of each set of equivalent atoms:
Rb: 0.0000 0.2023 0.2500 [4 per cell]
Li: 0.0000 0.2806 0.7500 [4 per cell]
S: 0.2495 0.0717 0.8746 [8 per cell]
O: 0.1058 0.3743 0.0350 [8 per cell]
O: 0.1378 0.1639 0.7339 [8 per cell]
O: 0.2316 0.0464 0.2462 [8 per cell]


## YPuZnPb (PBE)

Data for crystalline YPuZnPb at its relaxed geometry.

Formation energy = -0.215 eV/atom
Calculated volume = 26.15 Å³/atom

a = 7.4789 Å, b = 7.4789 Å, c = 7.4789 Å
α = 90.00°, β = 90.00°, γ = 90.00°
Space group F-43m (No. 216)
One atom of each set of equivalent atoms:
Y: 0.0000 0.0000 0.0000 [4 per cell]
Pu: 0.0000 0.0000 0.5000 [4 per cell]
Zn: 0.2500 0.2500 0.7500 [4 per cell]
Pb: 0.2500 0.2500 0.2500 [4 per cell]


Let's list final energy in order: -5.5972 -4.5332 -5.6122 -3.6047 -5.5463 -6.6592 eV per atom.